1.
SrCa4Pd after structural relaxation, computed with PBE.

Properties
For the total energy, the calculation gives -0.195 Ry/atom. The density of states at the Fermi level comes out at 8.70 states/eV per cell.

Cell: 10.4011 7.1986 6.6816 Å, 90.00 99.98 90.00°
Space group P2_1/c (No. 14)
Asymmetric unit:
Sr  0.0000  0.0000  0.0000
Ca  0.2496  0.1066  0.5726
Ca  0.3916  0.6386  0.6154
Pd  0.5000  0.0000  0.5000

***

2.
SrCa4Pd2 after structural relaxation, computed with PBE.

Properties
For the total energy, the calculation gives -0.243 Ry/atom. The density of states at the Fermi level comes out at 6.70 states/eV per cell.

Cell: 8.1057 6.6921 8.7458 Å, 90.00 112.85 90.00°
Space group P2_1/m (No. 11)
Asymmetric unit:
Sr  0.0012  0.2500  0.3408
Ca  0.2444  0.0001  0.0786
Ca  0.3348  0.2500  0.7708
Ca  0.3796  0.7500  0.5175
Pd  0.0228  0.7500  0.2185
Pd  0.4137  0.7500  0.8725

***

3.
SrCa3Pd after structural relaxation, computed with PBE.

Properties
For the total energy, the calculation gives -0.157 Ry/atom. The density of states at the Fermi level comes out at 20.13 states/eV per cell.

Cell: 9.1414 19.3733 7.3575 Å, 90.00 90.00 90.00°
Space group Cmcm (No. 63)
Asymmetric unit:
Sr  0.0000  0.1818  0.2500
Ca  0.0000  0.0000  0.0000
Ca  0.2061  0.1550  0.7500
Pd  0.0000  0.3292  0.2500

***

- Number 1 is which compound?
  SrCa4Pd